(1)
Material: PrTcO5
Method: DFT, PBE
State: optimized geometry

```
data_PrTcO5
_chemical_formula_sum 'Pr2 Tc2 O10'
_cell_length_a 5.667
_cell_length_b 5.667
_cell_length_c 7.686
_cell_angle_alpha 70.23
_cell_angle_beta 70.23
_cell_angle_gamma 70.70
_space_group_name_H-M_alt 'P 1'
_space_group_IT_number 1
_space_group_name_Hall 'P 1'
loop_
_atom_site_label
_atom_site_type_symbol
_atom_site_fract_x
_atom_site_fract_y
_atom_site_fract_z
Pr1 Pr 0.558 0.442 0.250
Pr2 Pr 0.442 0.558 0.750
O1 O 0.201 0.232 0.889
O2 O 0.768 0.799 0.611
O3 O 0.934 0.066 0.250
O4 O 0.066 0.934 0.750
O5 O 0.295 0.726 0.036
O6 O 0.799 0.768 0.111
O7 O 0.705 0.274 0.964
O8 O 0.274 0.705 0.464
O9 O 0.726 0.295 0.536
O10 O 0.232 0.201 0.389
Tc1 Tc 0.000 0.000 0.000
Tc2 Tc 0.000 0.000 0.500
```

Properties
total moment	0.000	μB per cell
formation energy (no corrections)	-1.9534	eV per atom
calculated density	5.0	g/cm3
DOS(E_F)	0.0	states/eV per cell
space group	No. 15


(2)
Material: TaCuAg2
Method: DFT, PBE
State: optimized geometry

```
data_TaCuAg2
_chemical_formula_sum 'Ta1 Cu1 Ag2'
_cell_length_a 4.729
_cell_length_b 4.729
_cell_length_c 4.729
_cell_angle_alpha 126.84
_cell_angle_beta 126.84
_cell_angle_gamma 78.51
_space_group_name_H-M_alt 'P 1'
_space_group_IT_number 1
_space_group_name_Hall 'P 1'
loop_
_atom_site_label
_atom_site_type_symbol
_atom_site_fract_x
_atom_site_fract_y
_atom_site_fract_z
Ta1 Ta 0.750 0.250 0.500
Ag1 Ag 0.000 0.000 0.000
Ag2 Ag 0.500 0.500 0.000
Cu1 Cu 0.250 0.750 0.500
```

Properties
total moment	0.000	μB per cell
excess energy over the best structure of this formula in the dataset	283.3	meV/atom
calculated density	11.7	g/cm3
DOS(E_F)	2.6	states/eV per cell
space group	No. 139
formation energy	0.449	eV per atom


(3)
Material: MnAs2PbSe
Method: DFT, PBE
State: optimized geometry

```
data_MnAs2PbSe
_chemical_formula_sum 'Mn1 As2 Pb1 Se1'
_cell_length_a 4.622
_cell_length_b 4.622
_cell_length_c 5.466
_cell_angle_alpha 90.00
_cell_angle_beta 90.00
_cell_angle_gamma 90.00
_space_group_name_H-M_alt 'P 1'
_space_group_IT_number 1
_space_group_name_Hall 'P 1'
loop_
_atom_site_label
_atom_site_type_symbol
_atom_site_fract_x
_atom_site_fract_y
_atom_site_fract_z
As1 As 0.500 0.000 0.000
As2 As 0.000 0.500 0.000
Mn1 Mn 0.000 0.000 0.000
Se1 Se 0.000 0.000 0.500
Pb1 Pb 0.500 0.500 0.500
```

Properties
total moment	1.926	μB per cell
excess energy over the best structure of this formula in the dataset	0.0	meV/atom
formation energy (no corrections)	0.1311	eV per atom
calculated density	7.0	g/cm3
DOS(E_F)	3.0	states/eV per cell
space group	No. 123